(1)
The following is a DFT calculation (GGA-PBE) of a geometry-optimized DyHfPb2 structure.

Calculated values
calculated formation energy = -13 kJ/mol of atoms
D(E_F) = 3.08 states/eV per cell
DFT total energy = -5.630 eV/atom
total moment = 0.00 μB per atom

Cell lengths 3.396, 3.396, 8.862 Å; angles 90.00, 90.00, 90.00 degrees
Sites, in units of the cell vectors:
Dy 0.000 0.000 0.000
Hf 0.000 0.000 0.500
Pb 0.500 0.500 0.261
Pb 0.500 0.500 0.739



(2)
The following is a DFT calculation (GGA-PBE) of a geometry-optimized Dy2HfPb structure.

Calculated values
calculated formation energy = 11 kJ/mol of atoms
D(E_F) = 4.61 states/eV per cell
DFT total energy = -5.602 eV/atom
total moment = 0.00 μB per atom

Cell lengths 11.818, 11.818, 11.818 Å; angles 16.60, 16.60, 16.60 degrees
Sites, in units of the cell vectors:
Dy 0.092 0.092 0.092
Dy 0.908 0.908 0.908
Hf 0.500 0.500 0.500
Pb 0.000 0.000 0.000



(3)
The following is a DFT calculation (GGA-PBE) of a geometry-optimized Dy3HfPb5 structure.

Calculated values
calculated formation energy = -33 kJ/mol of atoms
D(E_F) = 15.83 states/eV per cell
DFT total energy = -5.042 eV/atom
total moment = 0.00 μB per atom

Cell lengths 9.469, 9.469, 6.321 Å; angles 90.00, 90.00, 120.00 degrees
Sites, in units of the cell vectors:
Dy 0.000 0.383 0.250
Dy 0.000 0.617 0.750
Dy 0.383 0.000 0.250
Dy 0.383 0.383 0.750
Dy 0.617 0.000 0.750
Dy 0.617 0.617 0.250
Hf 0.000 0.000 0.000
Hf 0.000 0.000 0.500
Pb 0.000 0.276 0.750
Pb 0.000 0.724 0.250
Pb 0.276 0.000 0.750
Pb 0.276 0.276 0.250
Pb 0.333 0.667 0.000
Pb 0.333 0.667 0.500
Pb 0.667 0.333 0.000
Pb 0.667 0.333 0.500
Pb 0.724 0.000 0.250
Pb 0.724 0.724 0.750